(1)
# PBE NaMg2CdHg5, relaxed
# D(E_F), states/eV/cell: 12.2
# DFT formation energy, eV per atom: -0.109
data_NaMg2CdHg5
_cell_length_a 3.398
_cell_length_b 16.711
_cell_length_c 15.435
_cell_angle_alpha 90.00
_cell_angle_beta 90.00
_cell_angle_gamma 90.00
_symmetry_space_group_name_H-M 'C m c 21'
_symmetry_Int_Tables_number 36
loop_
_symmetry_equiv_pos_as_xyz
'x,y,z'
'-x,-y,z+1/2'
'-x,y,z'
'x,-y,z+1/2'
'x+1/2,y+1/2,z'
'-x+1/2,-y+1/2,z+1/2'
'-x+1/2,y+1/2,z'
'x+1/2,-y+1/2,z+1/2'
loop_
_atom_site_label
_atom_site_type_symbol
_atom_site_fract_x
_atom_site_fract_y
_atom_site_fract_z
_atom_site_occupancy
Na1 Na 0.000 0.038 0.000 1
Mg1 Mg 0.000 0.347 0.965 1
Mg2 Mg 0.000 0.423 0.278 1
Cd1 Cd 0.000 0.290 0.553 1
Hg1 Hg 0.000 0.068 0.341 1
Hg2 Hg 0.000 0.116 0.624 1
Hg3 Hg 0.000 0.186 0.883 1
Hg4 Hg 0.000 0.230 0.234 1
Hg5 Hg 0.000 0.433 0.665 1

---

(2)
# PBE Na2PdS8O26, relaxed
# Raw formation energy, eV/atom: -1.221
data_Na2PdS8O26
_cell_length_a 7.319
_cell_length_b 16.348
_cell_length_c 9.860
_cell_angle_alpha 90.00
_cell_angle_beta 104.03
_cell_angle_gamma 90.00
_symmetry_space_group_name_H-M 'P 1 21/c 1'
_symmetry_Int_Tables_number 14
loop_
_symmetry_equiv_pos_as_xyz
'x,y,z'
'-x,-y,-z'
'-x,y+1/2,-z+1/2'
'x,-y+1/2,z+1/2'
loop_
_atom_site_label
_atom_site_type_symbol
_atom_site_fract_x
_atom_site_fract_y
_atom_site_fract_z
_atom_site_occupancy
Na1 Na 0.242 0.133 0.165 1
Pd1 Pd 0.000 0.000 0.500 1
S1 S 0.137 0.697 0.666 1
S2 S 0.223 0.627 0.217 1
S3 S 0.290 0.147 0.568 1
S4 S 0.438 0.578 0.688 1
O1 O 0.012 0.156 0.931 1
O2 O 0.076 0.615 0.288 1
O3 O 0.134 0.099 0.602 1
O4 O 0.146 0.714 0.109 1
O5 O 0.157 0.694 0.813 1
O6 O 0.224 0.569 0.101 1
O7 O 0.294 0.517 0.673 1
O8 O 0.306 0.142 0.426 1
O9 O 0.310 0.224 0.638 1
O10 O 0.340 0.666 0.632 1
O11 O 0.409 0.646 0.295 1
O12 O 0.410 0.072 0.879 1
O13 O 0.491 0.091 0.648 1